No. 1
VASP calculation (GGA-PBE) on a geometry-optimized NaUTl2I8 structure.

Cell: 8.066 7.472 9.828 Å, 89.96 90.03 92.10°
Fractional positions:
I1 0.872 0.235 0.786
I2 0.315 0.205 0.000
I3 0.871 0.234 0.213
I4 0.687 0.747 0.500
I5 0.313 0.253 0.500
I6 0.685 0.795 0.000
I7 0.128 0.765 0.214
I8 0.129 0.766 0.787
Na1 0.000 0.000 0.500
U1 0.000 0.000 0.000
Tl1 0.500 0.500 0.268
Tl2 0.500 0.500 0.732

Summary:
Crystal system ... triclinic
SG ... No. 2
E_form (uncorrected) ... -772 meV per atom

***

No. 2
VASP calculation (GGA-PBE) on a geometry-optimized RbCdSn structure.

Cell: 5.192 5.039 5.039 Å, 120.00 90.00 90.00°
Fractional positions:
Rb1 0.667 0.667 0.333
Cd1 0.167 0.333 0.667
Sn1 0.167 0.000 0.000

Summary:
Crystal system ... hexagonal
E_form ... -0.1002 eV/atom
Relative energy among the computed polymorphs ... 50 meV per atom
SG ... No. 187

***

No. 3
VASP calculation (GGA-PBE) on a geometry-optimized TeP2W structure.

Cell: 4.638 4.701 4.343 Å, 70.73 74.49 111.70°
Fractional positions:
Te1 0.000 0.500 0.500
P1 0.500 0.000 0.500
P2 0.000 0.000 0.000
W1 0.500 0.500 0.000

Summary:
Crystal system ... monoclinic
SG ... No. 12
E_form (uncorrected) ... 697 meV per atom

***

No. 4
VASP calculation (GGA-PBE) on a geometry-optimized Dy2ErTe2S2 structure.

Cell: 5.007 5.007 8.565 Å, 107.00 107.00 90.00°
Fractional positions:
Te1 0.189 0.189 0.378
Te2 0.811 0.811 0.622
Dy1 0.388 0.388 0.776
Dy2 0.612 0.612 0.224
S1 0.000 0.500 0.000
S2 0.500 0.000 0.000
Er1 0.000 0.000 0.000

Summary:
Crystal system ... tetragonal
SG ... No. 139
E_form (uncorrected) ... -1349 meV per atom

***

No. 5
VASP calculation (GGA-PBE) on a geometry-optimized YB3O structure.

Cell: 3.881 3.881 3.881 Å, 90.00 90.00 90.00°
Fractional positions:
O1 0.000 0.000 0.000
B1 0.000 0.000 0.500
B2 0.500 0.000 0.000
B3 0.000 0.500 0.000
Y1 0.500 0.500 0.500

Summary:
Crystal system ... cubic
Relative energy among the computed polymorphs ... 0 meV per atom
SG ... No. 221
E_form (uncorrected) ... 1146 meV per atom

***

No. 6
VASP calculation (GGA-PBE) on a geometry-optimized ScSi2W structure.

Cell: 4.164 4.164 9.269 Å, 77.02 77.02 90.00°
Fractional positions:
W1 0.750 0.250 0.500
W2 0.000 0.000 0.000
Si1 0.730 0.125 0.250
Si2 0.020 0.625 0.250
Si3 0.875 0.980 0.750
Si4 0.375 0.270 0.750
Sc1 0.500 0.500 0.000
Sc2 0.250 0.750 0.500

Summary:
Crystal system ... tetragonal
Relative energy among the computed polymorphs ... 694 meV per atom
SG ... No. 122
E_form (uncorrected) ... 309 meV per atom

***

No. 7
VASP calculation (GGA-PBE) on a geometry-optimized PmNdGaOs structure.

Cell: 5.082 5.082 5.082 Å, 60.00 60.00 60.00°
Fractional positions:
Ga1 0.250 0.250 0.250
Pm1 0.000 0.000 0.000
Os1 0.750 0.750 0.750
Nd1 0.500 0.500 0.500

Summary:
Crystal system ... cubic
E_form ... -0.1962 eV/atom
SG ... No. 216

***

No. 8
VASP calculation (GGA-PBE) on a geometry-optimized K4CaP structure.

Cell: 7.237 7.237 7.237 Å, 60.00 60.00 60.00°
Fractional positions:
K1 0.378 0.867 0.378
K2 0.867 0.378 0.378
K3 0.378 0.378 0.867
K4 0.378 0.378 0.378
Ca1 0.000 0.000 0.000
P1 0.750 0.750 0.750

Summary:
Crystal system ... cubic
E_form ... 0.4552 eV/atom
SG ... No. 216

***

No. 9
VASP calculation (GGA-PBE) on a geometry-optimized HoURe structure.

Cell: 3.455 3.455 6.004 Å, 106.72 106.72 90.00°
Fractional positions:
Ho1 0.996 0.996 0.992
U1 0.696 0.696 0.392
Re1 0.308 0.308 0.616

Summary:
Crystal system ... tetragonal
E_form ... 0.1515 eV/atom
Relative energy among the computed polymorphs ... 0 meV per atom
SG ... No. 107

***

No. 10
VASP calculation (GGA-PBE) on a geometry-optimized LiYZr2 structure.

Cell: 5.092 5.092 5.092 Å, 60.00 60.00 60.00°
Fractional positions:
Zr1 0.750 0.750 0.750
Zr2 0.250 0.250 0.250
Li1 0.000 0.000 0.000
Y1 0.500 0.500 0.500

Summary:
Crystal system ... cubic
E_form ... 0.4224 eV/atom
Relative energy among the computed polymorphs ... 304 meV per atom
SG ... No. 225

***

No. 11
VASP calculation (GGA-PBE) on a geometry-optimized KPmBi4 structure.

Cell: 6.653 6.653 6.653 Å, 60.00 60.00 60.00°
Fractional positions:
Bi1 0.625 0.625 0.625
Bi2 0.625 0.625 0.124
Bi3 0.625 0.124 0.625
Bi4 0.124 0.625 0.625
K1 0.250 0.250 0.250
Pm1 0.000 0.000 0.000

Summary:
Crystal system ... cubic
E_form ... -0.1850 eV/atom
SG ... No. 216

***

No. 12
VASP calculation (GGA-PBE) on a geometry-optimized AcCd3Pt3 structure.

Cell: 7.346 7.346 7.346 Å, 90.00 90.00 90.00°
Fractional positions:
Cd1 0.000 0.750 0.500
Cd2 0.250 0.500 0.000
Cd3 0.000 0.250 0.500
Cd4 0.500 0.000 0.250
Cd5 0.750 0.500 0.000
Cd6 0.500 0.000 0.750
Ac1 0.500 0.500 0.500
Ac2 0.000 0.000 0.000
Pt1 0.500 0.750 0.000
Pt2 0.250 0.000 0.500
Pt3 0.000 0.500 0.250
Pt4 0.500 0.250 0.000
Pt5 0.750 0.000 0.500
Pt6 0.000 0.500 0.750

Summary:
Crystal system ... cubic
E_form ... 0.0521 eV/atom
Relative energy among the computed polymorphs ... 615 meV per atom
SG ... No. 223

***

No. 13
VASP calculation (GGA-PBE) on a geometry-optimized Sr2ScMo structure.

Cell: 11.583 11.583 8.543 Å, 47.32 47.32 90.00°
Fractional positions:
Sr1 0.875 0.035 0.750
Sr2 0.965 0.625 0.250
Sr3 0.785 0.125 0.250
Sr4 0.375 0.215 0.750
Sc1 0.250 0.750 0.500
Sc2 0.500 0.500 0.000
Mo1 0.000 0.000 0.000
Mo2 0.750 0.250 0.500

Summary:
Crystal system ... tetragonal
E_form ... 0.9238 eV/atom
Relative energy among the computed polymorphs ... 464 meV per atom
SG ... No. 122

***

No. 14
VASP calculation (GGA-PBE) on a geometry-optimized CaTa2Tc structure.

Cell: 4.249 3.032 6.554 Å, 77.91 90.00 90.00°
Fractional positions:
Ca1 0.500 0.750 0.750
Ta1 0.000 0.474 0.438
Ta2 0.000 0.026 0.062
Tc1 0.500 0.250 0.250

Summary:
Crystal system ... monoclinic
E_form ... 0.4060 eV/atom
Relative energy among the computed polymorphs ... 140 meV per atom
SG ... No. 10

***

M_tot, record by record: 0.96, 0.00, 0.43, 0.30, 0.57, 0.00, 0.00, 0.42, 0.24, 0.00, 0.00, 0.00, 1.85, 0.00 μB per cell